(1)
Here is a geometry-optimized Zn6CuNi structure from the Alexandria database. Energies are from PBE.

Cell lengths 5.044, 5.044, 5.044 Å; angles 85.51, 85.51, 85.51 degrees
Fractional positions:
Zn 0.161 0.161 0.540
Zn 0.161 0.540 0.161
Zn 0.460 0.839 0.839
Zn 0.540 0.161 0.161
Zn 0.839 0.460 0.839
Zn 0.839 0.839 0.460
Cu 0.500 0.500 0.500
Ni 0.000 0.000 0.000

Output
energy above the lowest structure with this stoichiometry: 0.1948 eV/atom
raw total energy: -16.580 eV per cell
M_tot: 0.000 μB/atom
space group: R-3m

=====

(2)
Here is a geometry-optimized Rb2InCo structure from the Alexandria database. Energies are from PBE.

Cell lengths 9.452, 9.452, 9.452 Å; angles 94.01, 94.01, 149.32 degrees
Fractional positions:
Rb 0.375 0.191 0.316
Rb 0.809 0.125 0.184
Rb 0.875 0.059 0.684
Rb 0.941 0.625 0.816
In 0.250 0.750 0.500
In 0.500 0.500 0.000
Co 0.000 0.000 0.000
Co 0.750 0.250 0.500

Output
raw total energy: -19.414 eV per cell
M_tot: 0.290 μB/atom
space group: I-42d

=====

(3)
Here is a geometry-optimized AcCe2Ge structure from the Alexandria database. Energies are from PBE.

Cell lengths 3.935, 3.935, 7.696 Å; angles 90.00, 90.00, 90.00 degrees
Fractional positions:
Ac 0.000 0.000 0.000
Ce 0.500 0.500 0.322
Ce 0.500 0.500 0.678
Ge 0.000 0.000 0.500

Output
energy above the lowest structure with this stoichiometry: 0.0000 eV/atom
raw total energy: -21.873 eV per cell
M_tot: 0.437 μB/atom
space group: P4/mmm

=====

(4)
Here is a geometry-optimized Tl2InCo structure from the Alexandria database. Energies are from PBE.

Cell lengths 3.663, 4.920, 5.158 Å; angles 90.00, 90.00, 90.00 degrees
Fractional positions:
Tl 0.000 0.000 0.000
Tl 0.500 0.000 0.500
In 0.000 0.500 0.500
Co 0.500 0.500 0.000

Output
energy above the lowest structure with this stoichiometry: 0.3374 eV/atom
raw total energy: -12.321 eV per cell
M_tot: 0.362 μB/atom
space group: Pmmm

=====

(5)
Here is a geometry-optimized LiPrGaN2 structure from the Alexandria database. Energies are from PBE.

Cell lengths 5.571, 3.976, 6.578 Å; angles 90.00, 94.16, 90.00 degrees
Fractional positions:
Li 0.000 0.025 0.250
Li 0.000 0.975 0.750
Pr 0.500 0.255 0.750
Pr 0.500 0.745 0.250
Ga 0.000 0.500 0.000
Ga 0.000 0.500 0.500
N 0.258 0.219 0.073
N 0.258 0.781 0.573
N 0.742 0.219 0.427
N 0.742 0.781 0.927

Output
raw total energy: -57.129 eV per cell
M_tot: 0.000 μB/atom
formation energy from raw total energies: -439 meV/atom
space group: P2/c

=====

(6)
Here is a geometry-optimized Tl2TeSe structure from the Alexandria database. Energies are from PBE.

Cell lengths 8.131, 8.131, 8.131 Å; angles 30.88, 30.88, 30.88 degrees
Fractional positions:
Tl 0.000 0.000 0.000
Tl 0.160 0.160 0.160
Te 0.572 0.572 0.572
Se 0.752 0.752 0.752

Output
energy above the lowest structure with this stoichiometry: 0.0528 eV/atom
raw total energy: -12.013 eV per cell
M_tot: 0.000 μB/atom
formation energy from raw total energies: -163 meV/atom
space group: R3m

=====

(7)
Here is a geometry-optimized Tb2DyAgC structure from the Alexandria database. Energies are from PBE.

Cell lengths 4.936, 4.936, 4.868 Å; angles 90.00, 90.00, 90.00 degrees
Fractional positions:
Tb 0.000 0.500 0.000
Tb 0.500 0.000 0.000
Dy 0.000 0.000 0.500
Ag 0.500 0.500 0.500
C 0.000 0.000 0.000

Output
raw total energy: -26.871 eV per cell
M_tot: 0.001 μB/atom
space group: P4/mmm

=====

(8)
Here is a geometry-optimized KMnCd2 structure from the Alexandria database. Energies are from PBE.

Cell lengths 10.269, 10.269, 10.269 Å; angles 148.37, 148.37, 45.34 degrees
Fractional positions:
K 0.000 0.000 0.000
K 0.750 0.250 0.500
Mn 0.250 0.750 0.500
Mn 0.500 0.500 0.000
Cd 0.347 0.625 0.222
Cd 0.375 0.597 0.722
Cd 0.403 0.125 0.778
Cd 0.875 0.653 0.278

Output
energy above the lowest structure with this stoichiometry: 0.2276 eV/atom
raw total energy: -20.423 eV per cell
M_tot: 1.035 μB/atom
space group: I-42d